A plane-wave DFT calculation with GGA+U was carried out for an optimized crystal structure of CrSnO2.

Computed properties:
Space-group type ... No. 63
DFT total energy ... -6.55 eV per atom
Size of the total moment ... 7.00 μB per cell

a = 11.853 Å, b = 11.853 Å, c = 3.210 Å
α = 90.00°, β = 90.00°, γ = 165.62°
Sites, in units of the cell vectors:
Cr 0.201 0.799 0.750
Cr 0.799 0.201 0.250
Sn 0.437 0.563 0.750
Sn 0.563 0.437 0.250
O 0.286 0.714 0.750
O 0.378 0.622 0.250
O 0.622 0.378 0.750
O 0.714 0.286 0.250